Computed, not measured: a relaxed Cd7Hg16Pb6 crystal at the PBE level of DFT.

Computed properties:
E_form in eV/atom: 0.03
VASP energy in eV per cell: -32.68
Crystal system: cubic

a b c (Å): 10.286 10.286 10.286
angles (deg): 60.00 60.00 60.00
Sites, in units of the cell vectors:
Hg (0.165, 0.165, 0.506)
Hg (0.852, 0.383, 0.383)
Hg (0.617, 0.617, 0.148)
Hg (0.148, 0.617, 0.617)
Hg (0.617, 0.617, 0.617)
Hg (0.835, 0.494, 0.835)
Hg (0.835, 0.835, 0.835)
Hg (0.165, 0.506, 0.165)
Hg (0.494, 0.835, 0.835)
Hg (0.165, 0.165, 0.165)
Hg (0.617, 0.148, 0.617)
Hg (0.383, 0.383, 0.383)
Hg (0.383, 0.383, 0.852)
Hg (0.383, 0.852, 0.383)
Hg (0.835, 0.835, 0.494)
Hg (0.506, 0.165, 0.165)
Pb (0.828, 0.172, 0.828)
Pb (0.172, 0.172, 0.828)
Pb (0.172, 0.828, 0.828)
Pb (0.828, 0.172, 0.172)
Pb (0.828, 0.828, 0.172)
Pb (0.172, 0.828, 0.172)
Cd (0.500, 0.500, 0.000)
Cd (0.500, 0.000, 0.500)
Cd (0.000, 0.500, 0.500)
Cd (0.000, 0.000, 0.500)
Cd (0.500, 0.500, 0.500)
Cd (0.000, 0.500, 0.000)
Cd (0.500, 0.000, 0.000)